{
  "formula": "InReSiOs2",
  "functional": "SCAN",
  "state": "PBEsol geometry",
  "space_group": "P4/mmm (123)",
  "formation_energy_uncorrected_ev_per_atom": 3.2908,
  "rho_g_cm3": 10.9,
  "lattice": [[4.7440, 0.0000, 0.0000], [0.0000, 4.7440, 0.0000], [0.0000, 0.0000, 4.7915]],
  "species": ["In", "Os", "Os", "Si", "Re"],
  "fractional_positions": [[0.0000, 0.0000, 0.0000], [0.0000, 0.5000, 0.0000], [0.5000, 0.0000, 0.0000], [0.5000, 0.5000, 0.5000], [0.0000, 0.0000, 0.5000]]
}